1.
Crystalline KZn2Hg at its relaxed geometry, computed with PBE.

Unit cell a=3.6062 b=3.6062 c=7.9803 alpha=90.00 beta=90.00 gamma=90.05
Sites, in units of the cell vectors:
Hg  0.0000  0.0000  0.4496
K  0.5000  0.5000  0.7626
Zn  0.0000  0.0000  0.0869
Zn  0.5000  0.5000  0.2008

Results
The space group is P4mm (99). Its calculated formation energy is 0.04 eV per atom. The density of states at the Fermi level comes out at 1.54 states/eV/cell.



2.
Crystalline PmHo5Ni2 at its relaxed geometry, computed with PBE.

Unit cell a=3.6243 b=6.7362 c=18.2675 alpha=90.00 beta=90.00 gamma=105.61
Sites, in units of the cell vectors:
Pm  0.6853  0.3706  0.7500
Pm  0.3147  0.6294  0.2500
Ho  0.9367  0.8735  0.9099
Ho  0.9367  0.8735  0.5901
Ho  0.3295  0.6589  0.4430
Ho  0.3295  0.6589  0.0570
Ho  0.5874  0.1748  0.2500
Ho  0.4126  0.8252  0.7500
Ho  0.6705  0.3411  0.5570
Ho  0.6705  0.3411  0.9430
Ho  0.0633  0.1265  0.0901
Ho  0.0633  0.1265  0.4099
Ni  0.7158  0.4316  0.3657
Ni  0.7158  0.4316  0.1343
Ni  0.2842  0.5684  0.6343
Ni  0.2842  0.5684  0.8657

Results
The space group is Cmcm (63). Its calculated formation energy is -0.15 eV per atom. The density of states at the Fermi level comes out at 22.93 states/eV/cell.



3.
Crystalline CaYOs2 at its relaxed geometry, computed with PBE.

Unit cell a=4.8071 b=4.8071 c=6.1132 alpha=82.28 beta=82.28 gamma=37.84
Sites, in units of the cell vectors:
Y  0.7500  0.7500  0.7500
Ca  0.2500  0.2500  0.2500
Os  0.0030  0.0030  0.9382
Os  0.4970  0.4970  0.5618

Results
The space group is C2/m (12). Its calculated formation energy is 0.56 eV per atom. The density of states at the Fermi level comes out at 2.06 states/eV/cell.



4.
Crystalline CuTe at its relaxed geometry, computed with PBE.

Unit cell a=11.2826 b=3.9161 c=6.0826 alpha=90.00 beta=90.00 gamma=90.00
Sites, in units of the cell vectors:
Cu  0.8256  0.0000  0.7395
Cu  0.1744  0.0000  0.7395
Cu  0.3256  0.5000  0.2395
Cu  0.6744  0.5000  0.2395
Cu  0.0000  0.0000  0.4403
Cu  0.5000  0.5000  0.9403
Te  0.8222  0.0000  0.1734
Te  0.1778  0.0000  0.1734
Te  0.3222  0.5000  0.6734
Te  0.6778  0.5000  0.6734
Te  0.0000  0.5000  0.7358
Te  0.5000  0.0000  0.2358

Results
The space group is Imm2 (44). The density of states at the Fermi level comes out at 5.42 states/eV/cell. The raw formation energy comes out at 0.0 eV per formula unit.



Computed VASP energy (eV per formula unit) in order:
-3.8; -40.4; -28.7; -7.3
Computed total moment (μB per formula unit) in order:
0.0; 0.0; 0.0; 0.0